Density functional theory data (PBE-GGA) for an optimized crystal structure of Co3Ni4.

calculated volume	76	Å³ per cell
magnetization	7.253	μB per cell
distance to the lowest polymorph of the same formula	0.00	eV/f.u.
crystal system	tetragonal
DOS at the Fermi energy	6.89	states/eV/cell
DFT formation energy	-0.01	eV/atom

Cell lengths 12.528, 12.528, 12.528 Å; angles 168.69, 168.69, 16.03 degrees
Fractional coordinates of all 7 atoms:
Co1 0.000 0.000 0.000
Co2 0.285 0.285 0.000
Co3 0.715 0.715 0.000
Ni1 0.144 0.144 0.000
Ni2 0.429 0.429 0.000
Ni3 0.571 0.571 0.000
Ni4 0.856 0.856 0.000

Density functional theory data (PBE-GGA) for an optimized crystal structure of Rb2Mg5Sn4.

calculated volume	352	Å³ per cell
magnetization	0.000	μB per cell
crystal system	orthorhombic
DOS at the Fermi energy	5.28	states/eV/cell
DFT formation energy	-0.08	eV/atom

Cell lengths 10.376, 9.061, 7.011 Å; angles 79.30, 59.10, 41.60 degrees
Fractional coordinates of all 11 atoms:
Rb1 0.147 0.147 0.853
Rb2 0.853 0.853 0.147
Mg1 0.000 0.000 0.500
Mg2 0.250 0.250 0.250
Mg3 0.500 0.500 0.000
Mg4 0.500 0.500 0.500
Mg5 0.750 0.750 0.750
Sn1 0.227 0.507 0.493
Sn2 0.493 0.773 0.227
Sn3 0.507 0.227 0.773
Sn4 0.773 0.493 0.507

Density functional theory data (PBE-GGA) for an optimized crystal structure of AlFeIr2Br.

calculated volume	95	Å³ per cell
magnetization	0.000	μB per cell
crystal system	tetragonal
DOS at the Fermi energy	5.38	states/eV/cell
DFT total energy	-25.69	eV for the cell shown

Cell lengths 4.519, 4.519, 4.669 Å; angles 90.00, 90.00, 90.00 degrees
Fractional coordinates of all 5 atoms:
Al1 0.000 0.000 0.000
Fe1 0.500 0.500 0.500
Ir1 0.000 0.500 0.500
Ir2 0.500 0.000 0.500
Br1 0.500 0.500 0.000

Density functional theory data (PBE-GGA) for an optimized crystal structure of CeHfSb2.

calculated volume	120	Å³ per cell
magnetization	1.765	μB per cell
distance to the lowest polymorph of the same formula	1.08	eV/f.u.
crystal system	tetragonal
DOS at the Fermi energy	6.78	states/eV/cell

Cell lengths 7.723, 7.723, 7.723 Å; angles 149.33, 149.33, 43.92 degrees
Fractional coordinates of all 4 atoms:
Ce1 0.000 0.000 0.000
Hf1 0.250 0.750 0.500
Sb1 0.384 0.384 0.000
Sb2 0.616 0.616 0.000